Entry from OQMD via LeMat-Bulk: an optimized crystal structure of LuNbSnC (PBE-GGA).

Cell lengths 3.3293, 3.3293, 14.8533 Å; angles 90.00, 90.00, 120.00 degrees
Closest atoms and distances in Å follow each position.
Positions (direct):
C (0.0000, 0.0000, 0.0078)  3 Nb 2.24, 3 Lu 2.36
C (0.0000, 0.0000, 0.5078)  3 Nb 2.24, 3 Lu 2.36
Lu (0.3333, 0.6667, 0.4155)  3 C 2.36
Lu (0.6667, 0.3333, 0.9155)  3 C 2.36
Nb (0.3333, 0.6667, 0.0853)  3 C 2.24
Nb (0.6667, 0.3333, 0.5853)  3 C 2.24
Sn (0.6667, 0.3333, 0.2413)  3 Nb 3.01, 3 Lu 3.22, 6 Sn 3.33
Sn (0.3333, 0.6667, 0.7413)  3 Nb 3.01, 3 Lu 3.22, 6 Sn 3.33

Summary:
Calculated volume (A^3/atom): 17.822
Calculated total energy (eV/atom): -7.494



Entry from OQMD via LeMat-Bulk: an optimized crystal structure of HoIrNO (PBE-GGA).

Cell lengths 3.9158, 3.9158, 7.2047 Å; angles 90.00, 90.00, 90.00 degrees
Closest atoms and distances in Å follow each position.
Positions (direct):
Ho (0.2500, 0.2500, 0.1466)  4 O 2.22
Ho (0.7500, 0.7500, 0.8534)  4 O 2.22
Ir (0.7500, 0.2500, 0.5000)  4 N 2.12
Ir (0.2500, 0.7500, 0.5000)  4 N 2.12
N (0.7500, 0.7500, 0.3867)  4 Ir 2.12
N (0.2500, 0.2500, 0.6133)  4 Ir 2.12
O (0.7500, 0.2500, 0.0000)  4 Ho 2.22
O (0.2500, 0.7500, 0.0000)  4 Ho 2.22

Summary:
Calculated volume (A^3/atom): 13.809
Calculated total energy (eV/atom): -7.892



Entry from OQMD via LeMat-Bulk: an optimized crystal structure of Zn3B (PBE-GGA).

Cell lengths 5.5710, 4.9693, 3.7562 Å; angles 90.00, 90.00, 90.00 degrees
Closest atoms and distances in Å follow each position.
Positions (direct):
B (0.8526, 0.0000, 0.0000)  6 Zn 2.25-2.36
B (0.4807, 0.5000, 0.5000)  6 Zn 2.25-2.36
Zn (0.4932, 0.2507, 0.0000)  3 B 2.25-2.36, 2 Zn 2.48-2.49
Zn (0.0750, 0.5000, 0.0000)  6 Zn 2.61-2.64, 2 B 2.78
Zn (0.4932, 0.7493, 0.0000)  3 B 2.25-2.36, 2 Zn 2.48-2.49
Zn (0.2584, 0.0000, 0.5000)  6 Zn 2.61-2.64, 2 B 2.78
Zn (0.8401, 0.2493, 0.5000)  3 B 2.25-2.36, 2 Zn 2.48-2.49
Zn (0.8401, 0.7507, 0.5000)  3 B 2.25-2.36, 2 Zn 2.48-2.49

Summary:
Calculated volume (A^3/atom): 12.998
Calculated total energy (eV/atom): -2.124



Entry from OQMD via LeMat-Bulk: an optimized crystal structure of TmNbAs (PBE-GGA).

Cell lengths 4.7685, 4.7685, 4.7685 Å; angles 60.00, 60.00, 60.00 degrees
Closest atoms and distances in Å follow each position.
Positions (direct):
As (0.2500, 0.2500, 0.2500)  4 Tm 2.92
Nb (0.7500, 0.7500, 0.7500)  4 Tm 2.92
Tm (0.0000, 0.0000, 0.0000)  4 Nb 2.92, 4 As 2.92

Summary:
Calculated volume (A^3/atom): 25.557
Calculated total energy (eV/atom): -5.735



Entry from OQMD via LeMat-Bulk: an optimized crystal structure of Co16W13 (PBE-GGA).

Cell lengths 7.8835, 7.8835, 7.8835 Å; angles 109.47, 109.47, 109.47 degrees
Closest atoms and distances in Å follow each position.
Positions (direct):
Co (0.6804, 0.0000, 0.0000)  4 W 2.52-2.60, 6 Co 2.61
Co (0.3725, 0.1911, 0.0000)  5 Co 2.34-2.61, 3 W 2.50-2.59
Co (0.1911, 0.3725, 0.0000)  5 Co 2.34-2.61, 3 W 2.50-2.59
Co (0.0000, 0.6804, 0.0000)  4 W 2.52-2.60, 6 Co 2.61
Co (0.8089, 0.8089, 0.1814)  5 Co 2.34-2.61, 3 W 2.50-2.59
Co (0.3725, 0.0000, 0.1911)  5 Co 2.34-2.61, 3 W 2.50-2.59
Co (0.0000, 0.3725, 0.1911)  5 Co 2.34-2.61, 3 W 2.50-2.59
Co (0.3196, 0.3196, 0.3196)  4 W 2.52-2.60, 6 Co 2.61
Co (0.1911, 0.0000, 0.3725)  5 Co 2.34-2.61, 3 W 2.50-2.59
Co (0.0000, 0.1911, 0.3725)  5 Co 2.34-2.61, 3 W 2.50-2.59
Co (0.6275, 0.8186, 0.6275)  5 Co 2.34-2.61, 3 W 2.50-2.59
Co (0.8186, 0.6275, 0.6275)  5 Co 2.34-2.61, 3 W 2.50-2.59
Co (0.0000, 0.0000, 0.6804)  4 W 2.52-2.60, 6 Co 2.61
Co (0.8089, 0.1814, 0.8089)  5 Co 2.34-2.61, 3 W 2.50-2.59
Co (0.1814, 0.8089, 0.8089)  5 Co 2.34-2.61, 3 W 2.50-2.59
Co (0.6275, 0.6275, 0.8186)  5 Co 2.34-2.61, 3 W 2.50-2.59
W (0.0000, 0.0000, 0.0000)  16 Co 2.52-2.82
W (0.7014, 0.4084, 0.0000)  6 Co 2.50-2.67, 4 W 2.76
W (0.4084, 0.7014, 0.0000)  6 Co 2.50-2.67, 4 W 2.76
W (0.5916, 0.5916, 0.2929)  6 Co 2.50-2.67, 4 W 2.76
W (0.7071, 0.2986, 0.2986)  6 Co 2.50-2.67, 4 W 2.76
W (0.2986, 0.7071, 0.2986)  6 Co 2.50-2.67, 4 W 2.76
W (0.7014, 0.0000, 0.4084)  6 Co 2.50-2.67, 4 W 2.76
W (0.0000, 0.7014, 0.4084)  6 Co 2.50-2.67, 4 W 2.76
W (0.5916, 0.2929, 0.5916)  6 Co 2.50-2.67, 4 W 2.76
W (0.2929, 0.5916, 0.5916)  6 Co 2.50-2.67, 4 W 2.76
W (0.4084, 0.0000, 0.7014)  6 Co 2.50-2.67, 4 W 2.76
W (0.0000, 0.4084, 0.7014)  6 Co 2.50-2.67, 4 W 2.76
W (0.2986, 0.2986, 0.7071)  6 Co 2.50-2.67, 4 W 2.76

Summary:
Energy of formation (meV per atom): 137
Calculated volume (A^3/atom): 13.006



Entry from OQMD via LeMat-Bulk: an optimized crystal structure of Al2Cu3 (PBE-GGA).

Cell lengths 6.1014, 6.1014, 5.6139 Å; angles 122.92, 57.08, 120.00 degrees
Closest atoms and distances in Å follow each position.
Positions (direct):
Al (0.5965, 0.4035, 0.2106)  6 Cu 2.39-2.48, 1 Al 2.53
Al (0.9035, 0.0965, 0.2894)  6 Cu 2.39-2.48, 1 Al 2.53
Al (0.0965, 0.9035, 0.7106)  6 Cu 2.39-2.48, 1 Al 2.53
Al (0.4035, 0.5965, 0.7894)  6 Cu 2.39-2.48, 1 Al 2.53
Cu (0.4863, 0.7500, 0.2500)  4 Al 2.39-2.48, 2 Cu 2.50
Cu (0.0137, 0.5137, 0.2500)  4 Al 2.39-2.48, 2 Cu 2.50
Cu (0.2500, 0.9863, 0.2500)  4 Al 2.39-2.48, 2 Cu 2.50
Cu (0.9863, 0.4863, 0.7500)  4 Al 2.39-2.48, 2 Cu 2.50
Cu (0.5137, 0.2500, 0.7500)  4 Al 2.39-2.48, 2 Cu 2.50
Cu (0.7500, 0.0137, 0.7500)  4 Al 2.39-2.48, 2 Cu 2.50

Summary:
Calculated volume (A^3/atom): 14.092
Calculated total energy (eV/atom): -3.554